{
  "formula": "RbMgP2O",
  "functional": "PBE-GGA",
  "state": "relaxed",
  "n_ef_per_ev_cell": 3.7,
  "spacegroup": "Cm",
  "formation_energy_uncorrected_kj_per_mol_atoms": -94,
  "total_magnetization_mub_per_fu": 0.00,
  "cell": [[6.6831, 0.0000, -0.0004], [0.0000, 4.0785, 0.0000], [-0.7033, 0.0000, 9.3152]],
  "species": ["Rb", "Rb", "Mg", "Mg", "P", "P", "P", "P", "O", "O"],
  "fractional_positions": [[0.5680, 0.0000, 0.9626], [0.5680, 0.5000, 0.4626], [0.0776, 0.0000, 0.3062], [0.0776, 0.5000, 0.8062], [0.2134, 0.0000, 0.6484], [0.2134, 0.5000, 0.1484], [0.9000, 0.0000, 0.6846], [0.9000, 0.5000, 0.1846], [0.2575, 0.0000, 0.4811], [0.2575, 0.5000, 0.9811]]
}